{"formula": "Er3Hg2BRu3", "functional": "PBE", "state": "relaxed", "cell": [[7.611, 0.000, 0.000], [-3.805, 6.591, 0.000], [0.000, 0.000, 3.365]], "species": ["Er", "Er", "Er", "Hg", "Hg", "B", "Ru", "Ru", "Ru"], "frac_coords": [[0.000, 0.656, 0.000], [0.344, 0.344, 0.000], [0.656, 0.000, 0.000], [0.333, 0.667, 0.500], [0.667, 0.333, 0.500], [0.000, 0.000, 0.000], [0.000, 0.216, 0.500], [0.216, 0.000, 0.500], [0.784, 0.784, 0.500]], "sg": "P-62m (189)", "crystal_system": "hexagonal", "magmom_total_mub_per_cell": 0.0, "e_tot_ev_per_atom": -5.771}